[1]
# NaAcCdAg

A relaxed structure of NaAcCdAg (PBE, the Alexandria database).

abc: 5.4659 5.4659 5.4659
angles: 60.00 60.00 60.00
Closest atoms and distances in Å follow each position.
Element x y z (fractional)
Na: 0.5000 0.5000 0.5000  4 Cd 3.35, 4 Ag 3.35
Ac: 0.0000 0.0000 0.0000  4 Ag 3.35, 4 Cd 3.35
Ag: 0.2500 0.2500 0.2500  4 Ac 3.35, 4 Na 3.35
Cd: 0.7500 0.7500 0.7500  4 Ac 3.35, 4 Na 3.35

## Properties
- Space-group type: F-43m, No. 216
- Energy of formation from the pure elements: -0.133 eV per atom

---

[2]
# AcNdCdAg

A relaxed structure of AcNdCdAg (PBE, the Alexandria database).

abc: 3.9122 3.9122 7.8208
angles: 90.00 90.00 90.00
Closest atoms and distances in Å follow each position.
Element x y z (fractional)
Ac: 0.5000 0.5000 0.1137  4 Ag 3.46, 4 Cd 3.52, 1 Nd 3.79
Nd: 0.5000 0.5000 0.5986  4 Ag 3.25, 4 Cd 3.33
Cd: 0.0000 0.0000 0.8355  4 Nd 3.33, 4 Ac 3.52, 1 Ag 3.56
Ag: 0.0000 0.0000 0.3801  4 Nd 3.25, 4 Ac 3.46, 1 Cd 3.56

## Properties
- Space-group type: P4mm, No. 99
- Energy of formation from the pure elements: -0.277 eV per atom
- Energy above the lowest structure with this stoichiometry: 0.00 eV/f.u.

---

[3]
# AcNdCdAg

A relaxed structure of AcNdCdAg (PBE, the Alexandria database).

abc: 5.5462 5.5462 5.5462
angles: 60.00 60.00 60.00
Closest atoms and distances in Å follow each position.
Element x y z (fractional)
Ac: 0.7500 0.7500 0.7500  4 Cd 3.40, 4 Ag 3.40
Nd: 0.2500 0.2500 0.2500  4 Ag 3.40, 4 Cd 3.40
Ag: 0.0000 0.0000 0.0000  4 Ac 3.40, 4 Nd 3.40
Cd: 0.5000 0.5000 0.5000  4 Nd 3.40, 4 Ac 3.40

## Properties
- Space-group type: F-43m, No. 216
- Energy of formation from the pure elements: -0.255 eV per atom
- Energy above the lowest structure with this stoichiometry: 0.09 eV/f.u.

---

[4]
# Ac2NdCd12Ag3

A relaxed structure of Ac2NdCd12Ag3 (PBE, the Alexandria database).

abc: 11.4749 11.4749 11.4749
angles: 37.05 37.05 37.05
Closest atoms and distances in Å follow each position.
Element x y z (fractional)
Ac: 0.6421 0.6421 0.6421  6 Cd 3.45-3.48
Ac: 0.3579 0.3579 0.3579  6 Cd 3.45-3.48
Nd: 0.0000 0.0000 0.0000  6 Cd 3.27
Cd: 0.3175 0.3175 0.7224  2 Ag 2.78, 4 Cd 2.95-2.97
Cd: 0.8743 0.8743 0.4551  4 Cd 2.97-3.06, 1 Ag 3.18, 1 Nd 3.27
Cd: 0.4551 0.8743 0.8743  4 Cd 2.97-3.06, 1 Ag 3.18, 1 Nd 3.27
Cd: 0.7224 0.3175 0.3175  2 Ag 2.78, 4 Cd 2.95-2.97
Cd: 0.8743 0.4551 0.8743  4 Cd 2.97-3.06, 1 Ag 3.18, 1 Nd 3.27
Cd: 0.3175 0.7224 0.3175  2 Ag 2.78, 4 Cd 2.95-2.97
Cd: 0.6825 0.6825 0.2776  2 Ag 2.78, 4 Cd 2.95-2.97
Cd: 0.1257 0.1257 0.5449  4 Cd 2.97-3.06, 1 Ag 3.18, 1 Nd 3.27
Cd: 0.5449 0.1257 0.1257  4 Cd 2.97-3.06, 1 Ag 3.18, 1 Nd 3.27
Cd: 0.2776 0.6825 0.6825  2 Ag 2.78, 4 Cd 2.95-2.97
Cd: 0.1257 0.5449 0.1257  4 Cd 2.97-3.06, 1 Ag 3.18, 1 Nd 3.27
Cd: 0.6825 0.2776 0.6825  2 Ag 2.78, 4 Cd 2.95-2.97
Ag: 0.5000 0.0000 0.0000  4 Cd 2.78
Ag: 0.0000 0.5000 0.0000  4 Cd 2.78
Ag: 0.0000 0.0000 0.5000  4 Cd 2.78

## Properties
- Space-group type: R-3m, No. 166
- Energy of formation from the pure elements: -0.033 eV per atom

---

[5]
# Ac2CdAgO5

A relaxed structure of Ac2CdAgO5 (PBE, the Alexandria database).

abc: 6.2066 7.2114 7.2114
angles: 90.00 90.00 90.00
Closest atoms and distances in Å follow each position.
Element x y z (fractional)
Ac: 0.5000 0.6775 0.1775  4 O 2.42-2.65
Ac: 0.5000 0.1775 0.3225  4 O 2.42-2.65
Ac: 0.5000 0.8225 0.6775  4 O 2.42-2.65
Ac: 0.5000 0.3225 0.8225  4 O 2.42-2.65
Cd: 0.0000 0.0000 0.5000  4 O 2.12
Cd: 0.0000 0.5000 0.0000  4 O 2.12
Ag: 0.0000 0.5000 0.5000  10 O 3.10-3.23
Ag: 0.0000 0.0000 0.0000  10 O 3.10-3.23
O: 0.5000 0.5000 0.5000  4 Ac 2.65
O: 0.5000 0.0000 0.0000  4 Ac 2.65
O: 0.2581 0.1367 0.6367  1 Cd 2.12
O: 0.2581 0.8633 0.3633  1 Cd 2.12
O: 0.2581 0.3633 0.1367  1 Cd 2.12
O: 0.2581 0.6367 0.8633  1 Cd 2.12
O: 0.7419 0.1367 0.6367  1 Cd 2.12
O: 0.7419 0.6367 0.8633  1 Cd 2.12
O: 0.7419 0.8633 0.3633  1 Cd 2.12
O: 0.7419 0.3633 0.1367  1 Cd 2.12

## Properties
- Formation energy without anion corrections: -1.8133 eV per atom
- Space-group type: P4/mbm, No. 127

---

[6]
# AcCdAg2O4

A relaxed structure of AcCdAg2O4 (PBE, the Alexandria database).

abc: 6.1476 5.4858 5.4858
angles: 68.17 55.92 55.92
Closest atoms and distances in Å follow each position.
Element x y z (fractional)
Ac: 0.0000 0.0000 0.0000  4 O 2.55
Cd: 0.5000 0.5000 0.5000  4 O 2.27
Ag: 0.2497 0.2503 0.2503  4 O 2.23
Ag: 0.7503 0.7497 0.7497  4 O 2.23
O: 0.5204 0.0807 0.4796  2 Ag 2.23, 1 Cd 2.27
O: 0.0807 0.9193 0.5204  2 Ag 2.23, 1 Cd 2.27
O: 0.9193 0.4796 0.0807  2 Ag 2.23, 1 Cd 2.27
O: 0.4796 0.5204 0.9193  2 Ag 2.23, 1 Cd 2.27

## Properties
- Formation energy without anion corrections: -1.2592 eV per atom
- Space-group type: I-42m, No. 121

---

What did we get for VASP energy? Answer: -0.089; -0.126; -0.126; -0.068; -0.217; -0.187 hartree per atom, in the order shown.
What did we get for density of states at the Fermi level? Answer: 3.5; 3.7; 3.7; 11.4; 5.4; 2.3 states/eV per cell, in the order shown.